A plane-wave DFT calculation with PBE was carried out for La3Sm6Dy2Y after structural relaxation.

Properties
V: 409.6 Å³/cell
Density: 7024 kg/m³
DFT formation energy: 0.021 eV per atom

a b c (Å): 6.309 6.309 12.074
angles (deg): 95.02 95.02 120.05
Sites, in units of the cell vectors:
La 0.000 0.000 0.000
La 0.333 0.667 0.000
La 0.667 0.333 0.000
Sm 0.084 0.419 0.256
Sm 0.247 0.247 0.744
Sm 0.419 0.084 0.256
Sm 0.581 0.916 0.744
Sm 0.753 0.753 0.256
Sm 0.916 0.581 0.744
Dy 0.167 0.833 0.500
Dy 0.833 0.167 0.500
Y 0.500 0.500 0.500